[1]
A plane-wave DFT calculation with PBE-GGA was carried out for crystalline Cd5AgHg8 at its relaxed geometry.

a = 7.3628 Å, b = 7.8444 Å, c = 7.8443 Å
α = 77.28°, β = 62.01°, γ = 62.01°
With the nearest neighbours (Å) after each atom.
Element x y z (fractional)
Cd  0.5000  0.0000  0.0000  8 Hg 2.94-3.09
Cd  0.9924  0.4741  0.7296  5 Hg 2.93-3.26, 1 Ag 3.00, 3 Cd 3.20-3.22
Hg  0.3227  0.4279  0.8789  5 Cd 2.93-3.26, 2 Hg 3.11-3.22
Hg  0.8240  0.8390  0.1748  2 Cd 2.94-2.98, 3 Hg 3.11-3.29
Hg  0.3371  0.8252  0.8390  2 Cd 2.94-2.98, 3 Hg 3.11-3.29
Cd  0.5335  0.2704  0.4741  5 Hg 2.93-3.26, 1 Ag 3.00, 3 Cd 3.20-3.22
Cd  0.1961  0.5259  0.2704  5 Hg 2.93-3.26, 1 Ag 3.00, 3 Cd 3.20-3.22
Hg  0.7983  0.8789  0.5721  5 Cd 2.93-3.26, 2 Hg 3.11-3.22
Hg  0.6296  0.5721  0.1211  5 Cd 2.93-3.26, 2 Hg 3.11-3.22
Cd  0.2780  0.7296  0.5259  5 Hg 2.93-3.26, 1 Ag 3.00, 3 Cd 3.20-3.22
Hg  0.8377  0.1610  0.8252  2 Cd 2.94-2.98, 3 Hg 3.11-3.29
Hg  0.0013  0.1748  0.1610  2 Cd 2.94-2.98, 3 Hg 3.11-3.29
Ag  0.7500  0.5000  0.5000  4 Cd 3.00, 8 Hg 3.31-3.35
Hg  0.2494  0.1211  0.4279  5 Cd 2.93-3.26, 2 Hg 3.11-3.22

* uncorrected energy: -0.653 eV per atom

[2]
A plane-wave DFT calculation with PBE-GGA was carried out for crystalline Cd12AgHg7 at its relaxed geometry.

a = 7.8273 Å, b = 7.8273 Å, c = 7.8273 Å
α = 94.96°, β = 94.96°, γ = 94.96°
With the nearest neighbours (Å) after each atom.
Element x y z (fractional)
Cd  0.7390  0.2610  0.0000  1 Ag 3.01, 6 Cd 3.01-3.18, 4 Hg 3.02-3.35
Cd  0.2610  0.0000  0.7390  1 Ag 3.01, 6 Cd 3.01-3.18, 4 Hg 3.02-3.35
Cd  0.2610  0.7390  0.0000  1 Ag 3.01, 6 Cd 3.01-3.18, 4 Hg 3.02-3.35
Cd  0.8442  0.3935  0.3935  3 Hg 3.05-3.18, 7 Cd 3.10-3.19
Cd  0.6065  0.1558  0.6065  3 Hg 3.05-3.18, 7 Cd 3.10-3.19
Ag  0.0000  0.0000  0.0000  6 Cd 3.01, 6 Hg 3.35
Cd  0.3935  0.3935  0.8442  3 Hg 3.05-3.18, 7 Cd 3.10-3.19
Hg  0.4073  0.1444  0.1444  6 Cd 3.02-3.35, 2 Hg 3.03, 1 Ag 3.35
Hg  0.8556  0.5927  0.8556  6 Cd 3.02-3.35, 2 Hg 3.03, 1 Ag 3.35
Hg  0.5000  0.5000  0.5000  6 Cd 3.05
Cd  0.7390  0.0000  0.2610  1 Ag 3.01, 6 Cd 3.01-3.18, 4 Hg 3.02-3.35
Cd  0.6065  0.6065  0.1558  3 Hg 3.05-3.18, 7 Cd 3.10-3.19
Hg  0.1444  0.1444  0.4073  6 Cd 3.02-3.35, 2 Hg 3.03, 1 Ag 3.35
Hg  0.8556  0.8556  0.5927  6 Cd 3.02-3.35, 2 Hg 3.03, 1 Ag 3.35
Cd  0.0000  0.7390  0.2610  1 Ag 3.01, 6 Cd 3.01-3.18, 4 Hg 3.02-3.35
Cd  0.3935  0.8442  0.3935  3 Hg 3.05-3.18, 7 Cd 3.10-3.19
Hg  0.5927  0.8556  0.8556  6 Cd 3.02-3.35, 2 Hg 3.03, 1 Ag 3.35
Hg  0.1444  0.4073  0.1444  6 Cd 3.02-3.35, 2 Hg 3.03, 1 Ag 3.35
Cd  0.0000  0.2610  0.7390  1 Ag 3.01, 6 Cd 3.01-3.18, 4 Hg 3.02-3.35
Cd  0.1558  0.6065  0.6065  3 Hg 3.05-3.18, 7 Cd 3.10-3.19

* uncorrected energy: -0.772 eV per atom

[3]
A plane-wave DFT calculation with PBE-GGA was carried out for crystalline Cd12AgHg6 at its relaxed geometry.

a = 7.9864 Å, b = 7.9864 Å, c = 7.9864 Å
α = 104.48°, β = 104.48°, γ = 104.48°
With the nearest neighbours (Å) after each atom.
Element x y z (fractional)
Hg  0.8701  0.7873  0.5766  7 Cd 3.04-3.26, 1 Ag 3.14, 2 Hg 3.31
Cd  0.8030  0.2729  0.0602  4 Cd 2.93-3.15, 1 Ag 3.00, 3 Hg 3.04-3.18
Hg  0.2127  0.4234  0.1299  7 Cd 3.04-3.26, 1 Ag 3.14, 2 Hg 3.31
Hg  0.5766  0.8701  0.7873  7 Cd 3.04-3.26, 1 Ag 3.14, 2 Hg 3.31
Ag  0.0000  0.0000  0.0000  6 Cd 3.00, 6 Hg 3.14
Cd  0.5306  0.1928  0.6232  5 Cd 2.93-3.15, 4 Hg 3.05-3.26
Cd  0.1928  0.6232  0.5306  5 Cd 2.93-3.15, 4 Hg 3.05-3.26
Cd  0.6232  0.5306  0.1928  5 Cd 2.93-3.15, 4 Hg 3.05-3.26
Cd  0.9398  0.1970  0.7271  4 Cd 2.93-3.15, 1 Ag 3.00, 3 Hg 3.04-3.18
Cd  0.1970  0.7271  0.9398  4 Cd 2.93-3.15, 1 Ag 3.00, 3 Hg 3.04-3.18
Cd  0.2729  0.0602  0.8030  4 Cd 2.93-3.15, 1 Ag 3.00, 3 Hg 3.04-3.18
Cd  0.7271  0.9398  0.1970  4 Cd 2.93-3.15, 1 Ag 3.00, 3 Hg 3.04-3.18
Hg  0.4234  0.1299  0.2127  7 Cd 3.04-3.26, 1 Ag 3.14, 2 Hg 3.31
Hg  0.7873  0.5766  0.8701  7 Cd 3.04-3.26, 1 Ag 3.14, 2 Hg 3.31
Cd  0.3768  0.4694  0.8072  5 Cd 2.93-3.15, 4 Hg 3.05-3.26
Cd  0.4694  0.8072  0.3768  5 Cd 2.93-3.15, 4 Hg 3.05-3.26
Cd  0.0602  0.8030  0.2729  4 Cd 2.93-3.15, 1 Ag 3.00, 3 Hg 3.04-3.18
Cd  0.8072  0.3768  0.4694  5 Cd 2.93-3.15, 4 Hg 3.05-3.26
Hg  0.1299  0.2127  0.4234  7 Cd 3.04-3.26, 1 Ag 3.14, 2 Hg 3.31

* uncorrected energy: -0.789 eV per atom

[4]
A plane-wave DFT calculation with PBE-GGA was carried out for crystalline Cd4Ag8Hg at its relaxed geometry.

a = 4.1309 Å, b = 4.0325 Å, c = 15.9205 Å
α = 90.00°, β = 90.00°, γ = 90.00°
With the nearest neighbours (Å) after each atom.
Element x y z (fractional)
Cd  0.5000  0.0000  0.8994  10 Ag 2.89-3.06, 2 Cd 3.14
Cd  0.5000  0.5000  0.4542  4 Ag 2.95
Ag  0.5000  0.0000  0.1846  6 Ag 2.89-3.01, 2 Hg 2.98, 2 Cd 3.00
Ag  0.5000  0.0000  0.6229  4 Cd 2.89, 6 Ag 2.93-3.04
Ag  0.0000  0.5000  0.1830  6 Ag 2.89-3.03, 2 Cd 2.95, 2 Hg 2.96
Hg  0.0000  0.0000  0.3192  5 Ag 2.76-2.98
Ag  0.5000  0.5000  0.0440  6 Cd 2.89-3.06, 6 Ag 3.01-3.04
Ag  0.5000  0.5000  0.7635  8 Ag 2.89-3.04, 4 Cd 2.96-3.01
Ag  0.0000  0.0000  0.4924  1 Hg 2.76, 6 Cd 2.93-2.95, 2 Ag 2.93
Ag  0.0000  0.0000  0.7626  8 Ag 2.89-3.04, 4 Cd 2.97-3.00
Cd  0.0000  0.0000  0.0476  10 Ag 2.89-3.05, 2 Cd 3.14
Ag  0.0000  0.5000  0.9037  6 Cd 2.89-3.05, 6 Ag 3.02-3.04
Cd  0.0000  0.5000  0.6259  10 Ag 2.89-3.01

* uncorrected energy: -2.035 eV per atom

Calculated volume, record by record: 353.3 473.8 450.2 265.2 Å³ per cell